Entry 1:
Below is a geometry-optimized TbDyEr2Tm5 structure, with properties calculated at the GGA-PBE level.

N(E_F)	27.750	states/eV per cell
ΔE_f	0.16	eV per atom
uncorrected energy	-0.3206	Ry/atom

Lattice parameters (Å, degrees): 10.151 10.151 10.448 90.00 90.00 148.47
Sites, in units of the cell vectors:
Tb  0.201  0.799  0.500
Tb  0.799  0.201  0.000
Dy  0.415  0.585  0.944
Dy  0.585  0.415  0.444
Er  0.109  0.891  0.226
Er  0.113  0.887  0.808
Er  0.887  0.113  0.308
Er  0.891  0.109  0.726
Tm  0.018  0.982  0.515
Tm  0.282  0.718  0.796
Tm  0.300  0.700  0.197
Tm  0.391  0.609  0.512
Tm  0.479  0.521  0.226
Tm  0.521  0.479  0.726
Tm  0.609  0.391  0.012
Tm  0.700  0.300  0.697
Tm  0.718  0.282  0.296
Tm  0.982  0.018  0.015

---

Entry 2:
Below is a geometry-optimized Zn2CuP structure, with properties calculated at the GGA-PBE level.

N(E_F)	1.472	states/eV per cell
ΔE_f	0.14	eV per atom
uncorrected energy	-0.2109	Ry/atom

Lattice parameters (Å, degrees): 4.788 4.788 4.788 133.28 133.28 68.21
Sites, in units of the cell vectors:
Zn  0.000  0.000  0.000
Zn  0.750  0.250  0.500
Cu  0.250  0.750  0.500
P  0.500  0.500  0.000

---

Entry 3:
Below is a geometry-optimized NpHg3F6 structure, with properties calculated at the GGA-PBE level.

N(E_F)	8.018	states/eV per cell
raw formation energy	-2.229	eV per atom
uncorrected energy	-0.3481	Ry/atom

Lattice parameters (Å, degrees): 5.297 5.297 7.936 90.00 90.00 120.00
Sites, in units of the cell vectors:
Np  0.000  0.000  0.000
Hg  0.000  0.000  0.500
Hg  0.333  0.667  0.500
Hg  0.667  0.333  0.500
F  0.000  0.311  0.840
F  0.000  0.689  0.160
F  0.311  0.000  0.840
F  0.311  0.311  0.160
F  0.689  0.000  0.160
F  0.689  0.689  0.840

---

Entry 4:
Below is a geometry-optimized Ca2ZrUN4 structure, with properties calculated at the GGA-PBE level.

N(E_F)	4.673	states/eV per cell
raw formation energy	-1.409	eV per atom
uncorrected energy	-0.6285	Ry/atom

Lattice parameters (Å, degrees): 5.872 3.420 5.974 90.00 108.70 90.00
Sites, in units of the cell vectors:
Ca  0.000  0.000  0.000
Ca  0.500  0.500  0.000
Zr  0.000  0.500  0.500
U  0.500  0.000  0.500
N  0.244  0.000  0.713
N  0.261  0.500  0.285
N  0.739  0.500  0.715
N  0.756  0.000  0.287

---

Entry 5:
Below is a geometry-optimized TiBeTe2N structure, with properties calculated at the GGA-PBE level.

N(E_F)	3.558	states/eV per cell
energy above the most stable polymorph in this dataset	0.142	eV/atom
raw formation energy	0.395	eV per atom
uncorrected energy	-0.3565	Ry/atom

Lattice parameters (Å, degrees): 5.506 5.506 3.694 90.00 90.00 90.00
Sites, in units of the cell vectors:
Ti  0.000  0.000  0.000
Be  0.500  0.500  0.500
Te  0.000  0.500  0.000
Te  0.500  0.000  0.000
N  0.000  0.000  0.500

---

Entry 6:
Below is a geometry-optimized NdBiPd4 structure, with properties calculated at the GGA-PBE level.

N(E_F)	7.998	states/eV per cell
energy above the most stable polymorph in this dataset	0.320	eV/atom
ΔE_f	-0.21	eV per atom
uncorrected energy	-0.3758	Ry/atom

Lattice parameters (Å, degrees): 5.406 5.406 9.461 90.00 90.00 90.00
Sites, in units of the cell vectors:
Nd  0.250  0.750  0.250
Nd  0.750  0.250  0.750
Bi  0.250  0.750  0.750
Bi  0.750  0.250  0.250
Pd  0.013  0.250  0.009
Pd  0.250  0.013  0.509
Pd  0.250  0.487  0.509
Pd  0.487  0.250  0.009
Pd  0.513  0.750  0.991
Pd  0.750  0.513  0.491
Pd  0.750  0.987  0.491
Pd  0.987  0.750  0.991

---

Entry 7:
Below is a geometry-optimized TaTiZn4 structure, with properties calculated at the GGA-PBE level.

N(E_F)	4.497	states/eV per cell
energy above the most stable polymorph in this dataset	0.022	eV/atom
ΔE_f	-0.06	eV per atom
uncorrected energy	-0.3090	Ry/atom

Lattice parameters (Å, degrees): 2.931 4.269 7.395 90.00 90.00 90.00
Sites, in units of the cell vectors:
Ta  0.000  0.000  0.000
Ti  0.000  0.500  0.500
Zn  0.500  0.000  0.335
Zn  0.500  0.000  0.665
Zn  0.500  0.500  0.168
Zn  0.500  0.500  0.832

---

Entry 8:
Below is a geometry-optimized Ac2Mg12Au7 structure, with properties calculated at the GGA-PBE level.

N(E_F)	11.049	states/eV per cell
ΔE_f	-0.58	eV per atom
uncorrected energy	-0.2185	Ry/atom

Lattice parameters (Å, degrees): 11.159 11.159 4.337 90.00 90.00 120.00
Sites, in units of the cell vectors:
Ac  0.000  0.000  0.000
Ac  0.333  0.667  0.500
Mg  0.050  0.291  0.500
Mg  0.098  0.716  0.000
Mg  0.240  0.950  0.500
Mg  0.284  0.382  0.000
Mg  0.389  0.175  0.000
Mg  0.540  0.426  0.500
Mg  0.574  0.114  0.500
Mg  0.618  0.902  0.000
Mg  0.709  0.760  0.500
Mg  0.786  0.611  0.000
Mg  0.825  0.214  0.000
Mg  0.886  0.460  0.500
Au  0.078  0.461  0.000
Au  0.251  0.209  0.500
Au  0.382  0.922  0.000
Au  0.539  0.618  0.000
Au  0.667  0.333  0.000
Au  0.791  0.041  0.500
Au  0.959  0.749  0.500

---

> Look up the N(E_F) of the eighth one.

11.049 states/eV per cell